An optimized crystal structure of CaCo2CuF8, computed with PBE+U.

a b c (Å): 4.925 4.910 6.503
angles (deg): 90.00 90.00 88.02
Each line ends with the local moment (μB).
Atoms (fractional coordinates):
1 F 0.687 0.690 0.000  0.07
2 F 0.678 0.680 0.500  0.05
3 F 0.800 0.202 0.772  0.07
4 F 0.200 0.798 0.228  0.07
5 F 0.800 0.202 0.228  0.07
6 F 0.322 0.320 0.500  0.05
7 F 0.313 0.310 0.000  0.07
8 F 0.200 0.798 0.772  0.07
9 Co 0.500 0.500 0.239  2.82
10 Co 0.500 0.500 0.761  2.82
11 Ca 0.000 0.000 0.500  0.00
12 Cu 0.000 0.000 0.000  0.71

Results
Uncorrected energy ... -5.00 eV/atom
DOS at the Fermi energy ... 4.60 states/eV/f.u.
Magnetic moment ... 7.00 Bohr magnetons per cell
SG ... P2/m, No. 10

An optimized crystal structure of CaCoCu2F8, computed with PBE+U.

a b c (Å): 5.259 5.259 6.466
angles (deg): 114.00 114.00 90.00
Each line ends with the local moment (μB).
Atoms (fractional coordinates):
1 F 0.867 0.287 0.205  0.09
2 F 0.713 0.661 0.795  0.09
3 F 0.082 0.133 0.795  0.09
4 F 0.191 0.584 0.714  0.08
5 F 0.339 0.918 0.205  0.09
6 F 0.416 0.477 0.286  0.08
7 F 0.870 0.809 0.286  0.08
8 F 0.523 0.130 0.714  0.08
9 Co 0.000 0.000 0.000  2.91
10 Ca 0.750 0.250 0.500  0.00
11 Cu 0.500 0.500 0.000  0.66
12 Cu 0.250 0.750 0.500  0.68

Results
Uncorrected energy ... -4.67 eV/atom
DOS at the Fermi energy ... 8.84 states/eV/f.u.
Magnetic moment ... 5.00 Bohr magnetons per cell
SG ... I-4, No. 82

uncorrected energy of number 1 (CaCo2CuF8)? -5.00 eV/atom

What is the formula in the first record? CaCo2CuF8

The lowest DOS at the Fermi energy belongs to which entry? CaCo2CuF8